BaEu3As PBE-GGA relaxed; electronic total energy = -39.67 eV/cell; formation energy from the elements = -10.487 kcal/mol of atoms; volume = 43.458 Å³/atom; SG = Pm-3m; crystal system = cubic
1.0
6.012 0.000 0.000
0.000 6.012 0.000
0.000 0.000 6.012
Eu As Ba
3 1 1
Direct
0.500 0.000 0.000 Eu
0.000 0.000 0.500 Eu
0.000 0.500 0.000 Eu
0.000 0.000 0.000 As
0.500 0.500 0.500 Ba

=====

NpCoH PBE-GGA relaxed; electronic total energy = -22.77 eV/cell; volume = 12.865 Å³/atom; offset from the most stable computed form = 125 meV per atom; SG = P-6m2; crystal system = hexagonal
1.0
3.294 0.000 0.000
0.000 3.678 0.000
0.000 -1.839 3.185
H Co Np
1 1 1
Direct
0.167 0.667 0.333 H
0.167 0.000 0.000 Co
0.667 0.333 0.667 Np

=====

Rb3Na5I12 PBE-GGA relaxed; electronic total energy = -183.64 eV/cell; volume = 48.889 Å³/atom; SG = Ia-3d; formation energy without anion corrections = -0.8905 eV/atom; crystal system = cubic
1.0
17.191 0.000 0.000
-5.730 16.208 0.000
-5.730 -8.104 14.037
I Na Rb
48 20 12
Direct
0.406 0.971 0.787 I
0.594 0.565 0.881 I
0.471 0.787 0.906 I
0.381 0.287 0.316 I
0.435 0.406 0.619 I
0.906 0.619 0.935 I
0.713 0.619 0.184 I
0.684 0.471 0.565 I
0.119 0.184 0.213 I
0.971 0.565 0.184 I
0.935 0.119 0.906 I
0.971 0.406 0.287 I
0.787 0.471 0.406 I
0.029 0.435 0.816 I
0.619 0.906 0.435 I
0.594 0.029 0.213 I
0.787 0.316 0.881 I
0.119 0.935 0.406 I
0.529 0.213 0.094 I
0.881 0.065 0.594 I
0.935 0.816 0.529 I
0.184 0.065 0.971 I
0.816 0.935 0.029 I
0.529 0.316 0.935 I
0.287 0.381 0.816 I
0.619 0.713 0.684 I
0.065 0.881 0.094 I
0.906 0.287 0.471 I
0.094 0.713 0.529 I
0.435 0.029 0.316 I
0.094 0.381 0.065 I
0.213 0.529 0.594 I
0.381 0.094 0.565 I
0.029 0.594 0.713 I
0.065 0.184 0.471 I
0.713 0.094 0.029 I
0.316 0.529 0.435 I
0.816 0.881 0.287 I
0.316 0.787 0.381 I
0.471 0.684 0.065 I
0.684 0.213 0.619 I
0.565 0.971 0.684 I
0.184 0.119 0.713 I
0.881 0.816 0.787 I
0.406 0.435 0.119 I
0.287 0.906 0.971 I
0.565 0.594 0.381 I
0.213 0.684 0.119 I
0.250 0.375 0.625 Na
0.750 0.125 0.875 Na
0.625 0.750 0.875 Na
0.250 0.875 0.125 Na
0.500 0.500 0.000 Na
0.375 0.125 0.750 Na
0.375 0.250 0.125 Na
0.625 0.875 0.250 Na
0.750 0.625 0.375 Na
0.875 0.625 0.750 Na
0.500 0.000 0.500 Na
0.000 0.000 0.000 Na
0.125 0.375 0.250 Na
0.000 0.500 0.500 Na
0.000 0.000 0.500 Na
0.500 0.500 0.500 Na
0.125 0.750 0.375 Na
0.500 0.000 0.000 Na
0.000 0.500 0.000 Na
0.875 0.250 0.625 Na
0.625 0.375 0.750 Rb
0.625 0.250 0.375 Rb
0.750 0.875 0.625 Rb
0.750 0.375 0.125 Rb
0.250 0.125 0.375 Rb
0.250 0.625 0.875 Rb
0.375 0.625 0.250 Rb
0.125 0.250 0.875 Rb
0.875 0.125 0.250 Rb
0.875 0.750 0.125 Rb
0.375 0.750 0.625 Rb
0.125 0.875 0.750 Rb

=====

CsMg2In9 PBE-GGA relaxed; electronic total energy = -28.83 eV/cell; formation energy from the elements = -0.275 kcal/mol of atoms; volume = 28.698 Å³/atom; SG = P6/mmm; crystal system = hexagonal
1.0
-1.144 -3.304 -0.433
8.770 -2.310 -5.535
-0.136 -1.336 10.540
In Cs Mg
9 1 2
Direct
0.500 0.190 0.810 In
0.500 0.810 0.190 In
0.500 0.810 0.620 In
0.500 0.620 0.810 In
0.000 0.000 0.500 In
0.500 0.190 0.380 In
0.000 0.500 0.000 In
0.500 0.380 0.190 In
0.000 0.500 0.500 In
0.000 0.000 0.000 Cs
0.000 0.333 0.667 Mg
0.000 0.667 0.333 Mg

=====

LaSeI PBE-GGA relaxed; electronic total energy = -30.24 eV/cell; volume = 39.664 Å³/atom; SG = P1; formation energy without anion corrections = -1.7196 eV/atom; crystal system = triclinic
1.0
-3.067 -3.005 0.095
1.625 -4.545 5.612
-5.032 2.297 6.130
I Se La
2 2 2
Direct
0.011 0.624 0.963 I
0.410 0.125 0.673 I
0.130 0.114 0.237 Se
0.785 0.594 0.451 Se
0.114 0.836 0.552 La
0.482 0.387 0.261 La

=====

SrLa3Ru PBE-GGA relaxed; electronic total energy = -24.50 eV/cell; formation energy from the elements = 5.735 kcal/mol of atoms; volume = 39.446 Å³/atom; offset from the most stable computed form = 428 meV per atom; SG = P4mm; crystal system = tetragonal
1.0
-3.223 -0.921 2.825
2.630 -2.825 2.079
3.239 7.546 6.155
La Sr Ru
3 1 1
Direct
0.000 0.500 0.423 La
0.500 0.000 0.423 La
0.000 0.000 0.701 La
0.000 0.000 0.089 Sr
0.500 0.500 0.627 Ru

=====

PrY2Ag6 PBE-GGA relaxed; electronic total energy = -37.09 eV/cell; formation energy from the elements = -5.827 kcal/mol of atoms; volume = 23.113 Å³/atom; SG = P6/mmm; crystal system = hexagonal
1.0
3.494 0.000 0.000
0.000 7.181 -4.146
0.000 0.000 8.292
Ag Y Pr
6 2 1
Direct
0.500 0.664 0.000 Ag
0.500 0.000 0.336 Ag
0.500 0.336 0.000 Ag
0.500 0.664 0.664 Ag
0.500 0.000 0.664 Ag
0.500 0.336 0.336 Ag
0.000 0.667 0.333 Y
0.000 0.333 0.667 Y
0.000 0.000 0.000 Pr

=====

Nd2OsC PBE-GGA relaxed; electronic total energy = -30.46 eV/cell; formation energy from the elements = -2.686 kcal/mol of atoms; volume = 24.934 Å³/atom; offset from the most stable computed form = 0 meV per atom; SG = P-1; crystal system = triclinic
1.0
3.609 -0.002 -0.920
-0.270 3.766 -1.056
-0.055 0.008 7.349
Os Nd C
1 2 1
Direct
0.500 0.509 0.000 Os
0.873 0.882 0.747 Nd
0.127 0.135 0.253 Nd
0.500 0.009 0.000 C